The following is a DFT calculation (GGA-PBE) of a relaxed Nd2ZnSi3Pd4 crystal.

a b c (Å): 4.2774 4.2774 10.0062
angles (deg): 90.00 90.00 90.00
Last column: nearest neighbours and their distance in Å.
Element x y z (fractional)
Nd (0.5000, 0.0000, 0.2523)  8 Pd 3.24-3.31, 6 Si 3.27, 2 Zn 3.27
Nd (0.0000, 0.5000, 0.7477)  8 Pd 3.24-3.31, 6 Si 3.27, 2 Zn 3.27
Zn (0.5000, 0.5000, 0.5000)  4 Pd 2.51
Si (0.0000, 0.0000, 0.5000)  4 Pd 2.51
Si (0.5000, 0.0000, 0.8724)  5 Pd 2.41-2.49
Si (0.0000, 0.5000, 0.1276)  5 Pd 2.41-2.49
Pd (0.5000, 0.5000, 0.0000)  4 Si 2.49
Pd (0.0000, 0.0000, 0.0000)  4 Si 2.49
Pd (0.5000, 0.0000, 0.6318)  3 Si 2.41-2.51, 2 Zn 2.51
Pd (0.0000, 0.5000, 0.3682)  3 Si 2.41-2.51, 2 Zn 2.51

- magnetic moment (μB/cell) = 0.00
- formation energy without anion corrections (meV per atom) = -853

---

The following is a DFT calculation (GGA-PBE) of a relaxed NdSm5Pd2 crystal.

a b c (Å): 3.9244 6.6450 18.8391
angles (deg): 90.00 90.00 107.17
Last column: nearest neighbours and their distance in Å.
Element x y z (fractional)
Nd (0.6353, 0.2705, 0.7500)  4 Pd 3.26, 3 Sm 3.39-3.55
Nd (0.3647, 0.7295, 0.2500)  4 Pd 3.26, 3 Sm 3.39-3.55
Sm (0.9402, 0.8803, 0.8889)  2 Pd 3.27, 6 Sm 3.40-3.61
Sm (0.9402, 0.8803, 0.6111)  2 Pd 3.27, 6 Sm 3.40-3.61
Sm (0.3529, 0.7058, 0.4612)  2 Pd 2.83
Sm (0.3529, 0.7058, 0.0388)  2 Pd 2.83
Sm (0.6319, 0.2638, 0.2500)  2 Pd 2.83
Sm (0.3681, 0.7362, 0.7500)  2 Pd 2.83
Sm (0.6471, 0.2942, 0.5388)  2 Pd 2.83
Sm (0.6471, 0.2942, 0.9612)  2 Pd 2.83
Sm (0.0598, 0.1197, 0.1111)  2 Pd 3.27, 6 Sm 3.40-3.61
Sm (0.0598, 0.1197, 0.3889)  2 Pd 3.27, 6 Sm 3.40-3.61
Pd (0.7644, 0.5288, 0.3706)  3 Sm 2.83
Pd (0.7644, 0.5288, 0.1294)  3 Sm 2.83
Pd (0.2356, 0.4712, 0.6294)  3 Sm 2.83
Pd (0.2356, 0.4712, 0.8706)  3 Sm 2.83

- E_form (eV/atom) = -0.33
- magnetic moment (μB/cell) = 0.00

---

The following is a DFT calculation (GGA-PBE) of a relaxed NdSm3Pd crystal.

a b c (Å): 7.6727 7.6727 7.3665
angles (deg): 104.02 114.38 111.78
Last column: nearest neighbours and their distance in Å.
Element x y z (fractional)
Nd (0.7308, 0.0408, 0.7715)  1 Pd 2.92
Nd (0.2692, 0.9592, 0.2285)  1 Pd 2.92
Sm (0.8357, 0.0951, 0.3280)  2 Pd 2.82-3.14
Sm (0.2329, 0.4922, 0.3280)  2 Pd 2.82-3.14
Sm (0.7671, 0.5078, 0.6720)  2 Pd 2.82-3.14
Sm (0.6984, 0.4273, 0.1257)  2 Pd 2.86-3.08
Sm (0.1643, 0.9049, 0.6720)  2 Pd 2.82-3.14
Sm (0.3016, 0.5727, 0.8743)  2 Pd 2.86-3.08
Pd (0.6451, 0.7298, 0.3750)  6 Sm 2.82-3.14, 1 Nd 2.92
Pd (0.3549, 0.2702, 0.6250)  6 Sm 2.82-3.14, 1 Nd 2.92

- E_form (eV/atom) = -0.23
- energy above the lowest structure with this stoichiometry (eV/atom) = 0.083
- magnetic moment (μB/cell) = 0.01

---

DFT total energy
In order: -5.638, -5.176, -5.054
Unit: eV per atom
DOS(E_F)
In order: 5.20, 16.48, 14.74
Unit: states/eV/cell